Record 1
The following is a DFT calculation (PBE-GGA) of NdTh8 after structural relaxation.

N(E_F) = 12.7 states/eV/cell
E_form = 30.7 meV/atom
size of the total moment = 0.0 μB per formula unit
E above lowest polymorph = 0.0000 eV/atom

```
NdTh8
1.0
-2.6093 -4.0937 1.3975
3.4992 -6.4406 -3.2024
3.0722 -2.7329 6.8611
Nd Th
1 8
direct
0.0000 0.0000 0.0000
0.0000 0.3340 0.6660
0.6684 0.6632 0.0000
0.0000 0.6660 0.3340
0.6660 0.3340 0.3340
0.3340 0.6660 0.6660
0.3316 0.3368 0.0000
0.6684 0.0000 0.6632
0.3316 0.0000 0.3368
```

---

Record 2
The following is a DFT calculation (PBE-GGA) of NdTh8 after structural relaxation.

N(E_F) = 15.9 states/eV/cell
E_form = 110.3 meV/atom
size of the total moment = 0.0 μB per formula unit
E above lowest polymorph = 0.0795 eV/atom

```
NdTh8
1.0
-2.4101 0.8332 -2.5033
3.8145 -3.7967 -7.4866
-5.6105 -7.3049 0.4195
Th Nd
8 1
direct
0.0000 0.6666 0.3334
0.3334 0.6666 0.6666
0.6666 0.3334 0.3334
0.3303 0.3393 0.0000
0.3303 0.0000 0.3393
0.6697 0.6607 0.0000
0.0000 0.3334 0.6666
0.6697 0.0000 0.6607
0.0000 0.0000 0.0000
```

---

Record 3
The following is a DFT calculation (PBE-GGA) of Nd2Th3 after structural relaxation.

N(E_F) = 7.7 states/eV/cell
E_form = 21.5 meV/atom
size of the total moment = 0.0 μB per formula unit
E above lowest polymorph = 0.0000 eV/atom

```
Nd2Th3
1.0
-0.4069 3.5396 0.5407
-2.5104 1.1957 2.2924
8.8501 1.0198 11.9926
Th Nd
3 2
direct
0.8980 0.8980 0.3060
0.1020 0.1020 0.6940
0.5000 0.5000 0.5000
0.7026 0.7026 0.8922
0.2974 0.2974 0.1078
```

---

Record 4
The following is a DFT calculation (PBE-GGA) of Nd6Th after structural relaxation.

N(E_F) = 10.9 states/eV/cell
E_form = 1303.9 meV/atom
size of the total moment = 0.0 μB per formula unit

```
Nd6Th
1.0
-5.5944 4.3238 0.1748
-1.7920 -6.0455 -3.2037
2.1264 -1.3721 6.6044
Th Nd
1 6
direct
0.0000 0.0000 0.0000
0.5000 0.7500 0.2500
0.2500 0.7500 0.5000
0.5000 0.2500 0.7500
0.7500 0.2500 0.5000
0.7500 0.5000 0.2500
0.2500 0.5000 0.7500
```

---

Record 5
The following is a DFT calculation (PBE-GGA) of Nd5Th after structural relaxation.

N(E_F) = 9.7 states/eV/cell
E_form = 43.4 meV/atom
size of the total moment = 0.0 μB per formula unit
E above lowest polymorph = 0.0191 eV/atom

```
Nd5Th
1.0
5.1724 0.0000 0.0000
0.0000 5.1846 0.0000
0.0000 -2.5923 7.7739
Nd Th
5 1
direct
0.5000 0.1620 0.3241
0.0000 0.3367 0.6733
0.5000 0.5000 0.0000
0.5000 0.8380 0.6759
0.0000 0.6633 0.3267
0.0000 0.0000 0.0000
```

---

Record 6
The following is a DFT calculation (PBE-GGA) of Nd5Th4 after structural relaxation.

N(E_F) = 13.9 states/eV/cell
E_form = 58.1 meV/atom
size of the total moment = 0.0 μB per formula unit

```
Nd5Th4
1.0
5.0344 0.0000 0.8620
2.5172 7.7177 0.4310
1.2147 0.0000 8.0380
Nd Th
5 4
direct
0.3294 0.0000 0.3412
0.0000 0.0000 0.0000
0.6706 0.0000 0.6588
0.6706 0.6588 0.0000
0.3294 0.3412 0.0000
0.3387 0.6613 0.6613
0.0000 0.3387 0.6613
0.0000 0.6613 0.3387
0.6613 0.3387 0.3387
```

---

Record 7
The following is a DFT calculation (PBE-GGA) of NdTh2Ti after structural relaxation.

N(E_F) = 7.2 states/eV/cell
E_form = 359.2 meV/atom
size of the total moment = 0.0 μB per formula unit
E above lowest polymorph = 0.2055 eV/atom

```
NdTh2Ti
1.0
3.3833 0.0000 0.0000
1.6917 2.9300 0.0000
1.6917 0.9767 11.8254
Th Ti Nd
2 1 1
direct
0.0938 0.0938 0.7185
0.9062 0.9062 0.2815
0.5000 0.5000 0.5000
0.0000 0.0000 0.0000
```

---

Record 8
The following is a DFT calculation (PBE-GGA) of NdTh2Ti after structural relaxation.

N(E_F) = 6.4 states/eV/cell
E_form = 153.7 meV/atom
size of the total moment = 0.0 μB per formula unit
E above lowest polymorph = 0.0000 eV/atom

```
NdTh2Ti
1.0
3.6327 0.0000 0.0000
0.0000 3.6327 0.0000
0.0000 0.0000 8.7757
Ti Th Nd
1 2 1
direct
0.5000 0.5000 0.0000
0.0000 0.0000 0.7860
0.0000 0.0000 0.2140
0.5000 0.5000 0.5000
```

---

Record 9
The following is a DFT calculation (PBE-GGA) of NdTh2Tl9 after structural relaxation.

N(E_F) = 6.3 states/eV/cell
E_form = -208.2 meV/atom
size of the total moment = 0.0 μB per formula unit

```
NdTh2Tl9
1.0
4.8313 0.0000 0.0000
0.0000 4.8313 0.0000
0.0000 0.0000 14.4443
Tl Th Nd
9 2 1
direct
0.5000 0.5000 0.3339
0.5000 0.0000 0.8335
0.0000 0.5000 0.8335
0.5000 0.5000 0.0000
0.5000 0.0000 0.5000
0.5000 0.0000 0.1665
0.0000 0.5000 0.5000
0.0000 0.5000 0.1665
0.5000 0.5000 0.6661
0.0000 0.0000 0.6659
0.0000 0.0000 0.3341
0.0000 0.0000 0.0000
```

---

Record 10
The following is a DFT calculation (PBE-GGA) of NdThTl2 after structural relaxation.

N(E_F) = 3.8 states/eV/cell
E_form = -260.5 meV/atom
size of the total moment = 0.0 μB per formula unit

```
NdThTl2
1.0
3.6071 0.0000 0.0000
0.0000 3.6071 0.0000
0.0000 0.0000 9.0204
Tl Th Nd
2 1 1
direct
0.0000 0.0000 0.2517
0.0000 0.0000 0.7483
0.5000 0.5000 0.0000
0.5000 0.5000 0.5000
```

---

Record 11
The following is a DFT calculation (PBE-GGA) of NdThTl after structural relaxation.

N(E_F) = 6.0 states/eV/cell
E_form = -163.3 meV/atom
size of the total moment = 0.0 μB per formula unit
E above lowest polymorph = 0.0000 eV/atom

```
NdThTl
1.0
4.6232 0.0000 -0.9641
-0.2011 4.6190 -0.9641
-0.4664 -0.4873 9.3302
Th Tl Nd
2 2 2
direct
0.0000 0.5000 0.0000
0.5000 0.0000 0.0000
0.6386 0.6386 0.2772
0.3614 0.3614 0.7228
0.8220 0.8220 0.6439
0.1780 0.1780 0.3561
```

---

Record 12
The following is a DFT calculation (PBE-GGA) of NdThTl4 after structural relaxation.

N(E_F) = 4.0 states/eV/cell
E_form = -172.1 meV/atom
size of the total moment = 0.0 μB per formula unit
E above lowest polymorph = 0.0000 eV/atom

```
NdThTl4
1.0
-3.5462 1.1692 5.2294
5.1005 -3.6630 7.2803
5.0425 3.9427 0.5982
Tl Nd Th
8 2 2
direct
0.5169 0.8330 0.0181
0.0169 0.3330 0.0181
0.4827 0.6661 0.4843
0.9831 0.6670 0.9819
0.0173 0.8339 0.5157
0.5173 0.3339 0.5157
0.9827 0.1661 0.4843
0.4831 0.1670 0.9819
0.5000 0.5000 0.0000
0.0000 0.0000 0.0000
0.5000 0.0000 0.5000
0.0000 0.5000 0.5000
```

---

Record 13
The following is a DFT calculation (PBE-GGA) of NdTh2Tl after structural relaxation.

N(E_F) = 5.6 states/eV/cell
E_form = 39.3 meV/atom
size of the total moment = 0.0 μB per formula unit
E above lowest polymorph = 0.1541 eV/atom

```
NdTh2Tl
1.0
3.5252 0.0000 0.0000
0.0000 3.5252 0.0000
0.0000 0.0000 10.2479
Nd Tl Th
1 1 2
direct
0.5000 0.5000 0.5000
0.5000 0.5000 0.0000
0.0000 0.0000 0.7663
0.0000 0.0000 0.2337
```

---

Record 14
The following is a DFT calculation (PBE-GGA) of Nd12ThTl3 after structural relaxation.

N(E_F) = 24.5 states/eV/cell
E_form = -135.6 meV/atom
size of the total moment = 0.0 μB per formula unit

```
Nd12ThTl3
1.0
5.0179 0.0000 0.0000
0.0000 5.0179 0.0000
0.0000 0.0000 20.2936
Nd Tl Th
12 3 1
direct
0.0000 0.5000 0.3766
0.5000 0.0000 0.6234
0.0000 0.5000 0.8728
0.5000 0.0000 0.8728
0.0000 0.5000 0.1272
0.5000 0.5000 0.0000
0.5000 0.0000 0.1272
0.5000 0.5000 0.5000
0.5000 0.0000 0.3766
0.5000 0.5000 0.2541
0.5000 0.5000 0.7459
0.0000 0.5000 0.6234
0.0000 0.0000 0.5000
0.0000 0.0000 0.2548
0.0000 0.0000 0.7452
0.0000 0.0000 0.0000
```

---

Record 15
The following is a DFT calculation (PBE-GGA) of Nd3ThTl2 after structural relaxation.

N(E_F) = 5.5 states/eV/cell
E_form = -248.3 meV/atom
size of the total moment = 0.0 μB per formula unit

```
Nd3ThTl2
1.0
3.6997 0.0000 0.0000
0.0000 3.6997 0.0000
0.0000 0.0000 13.5222
Tl Th Nd
2 1 3
direct
0.5000 0.5000 0.1615
0.5000 0.5000 0.8385
0.5000 0.5000 0.5000
0.0000 0.0000 0.3213
0.0000 0.0000 0.0000
0.0000 0.0000 0.6787
```

---

Record 16
The following is a DFT calculation (PBE-GGA) of Nd2ThTl3 after structural relaxation.

N(E_F) = 5.9 states/eV/cell
E_form = -301.9 meV/atom
size of the total moment = 0.0 μB per formula unit

```
Nd2ThTl3
1.0
-2.1322 -0.5975 -2.8625
2.3424 -2.4697 -1.2292
-6.5104 -9.5839 6.8497
Tl Th Nd
3 1 2
direct
0.0000 0.0000 0.6682
0.0000 0.0000 0.0000
0.0000 0.0000 0.3318
0.5000 0.5000 0.5000
0.5000 0.5000 0.1653
0.5000 0.5000 0.8347
```

---

Record 17
The following is a DFT calculation (PBE-GGA) of Nd4ThTl3 after structural relaxation.

N(E_F) = 11.0 states/eV/cell
E_form = -235.2 meV/atom
size of the total moment = 0.0 μB per formula unit

```
Nd4ThTl3
1.0
-2.9180 -1.1390 1.9766
-0.6277 -4.4254 -3.4769
7.0387 -6.3069 6.7566
Tl Nd Th
3 4 1
direct
0.5000 0.5000 0.5000
0.5000 0.0000 0.2438
0.5000 0.0000 0.7562
0.0000 0.5000 0.2567
0.0000 0.0000 0.5000
0.0000 0.5000 0.7433
0.0000 0.0000 0.0000
0.5000 0.5000 0.0000
```

---

Record 18
The following is a DFT calculation (PBE-GGA) of Nd4ThTl2 after structural relaxation.

N(E_F) = 12.8 states/eV/cell
E_form = 69.4 meV/atom
size of the total moment = 0.0 μB per formula unit
E above lowest polymorph = 0.1633 eV/atom

```
Nd4ThTl2
1.0
5.6048 0.0000 0.0000
2.8024 4.8539 0.0000
2.8024 1.6180 9.1292
Tl Th Nd
2 1 4
direct
0.6160 0.6160 0.1520
0.3840 0.3840 0.8480
0.5000 0.5000 0.5000
0.1279 0.1279 0.6164
0.8721 0.8721 0.3836
0.2670 0.2670 0.1989
0.7330 0.7330 0.8011
```

---

Record 19
The following is a DFT calculation (PBE-GGA) of Nd5ThTl3 after structural relaxation.

N(E_F) = 24.4 states/eV/cell
E_form = -228.7 meV/atom
size of the total moment = 1.4 μB per formula unit

```
Nd5ThTl3
1.0
6.8527 0.0000 0.0000
0.0000 8.3972 -4.8482
0.0000 0.0003 9.6968
Nd Th Tl
10 2 6
direct
0.0000 0.6666 0.3333
0.2500 0.0000 0.6736
0.7500 0.0000 0.3264
0.5000 0.3334 0.6667
0.2500 0.3264 0.3264
0.5000 0.6666 0.3333
0.0000 0.3334 0.6667
0.7500 0.6736 0.6736
0.7500 0.3264 0.0000
0.2500 0.6736 0.0000
0.0000 0.0000 0.0000
0.5000 0.0000 0.0000
0.7500 0.6605 0.0000
0.2500 0.0000 0.3395
0.7500 0.0000 0.6605
0.7500 0.3395 0.3395
0.2500 0.6605 0.6605
0.2500 0.3395 0.0000
```

---

Record 20
The following is a DFT calculation (PBE-GGA) of NdThTl2 after structural relaxation.

N(E_F) = 5.8 states/eV/cell
E_form = -125.0 meV/atom
size of the total moment = 0.0 μB per formula unit

```
NdThTl2
1.0
-2.8302 -0.5240 -2.1805
-1.6273 -3.2218 -0.1036
-8.1815 1.8779 7.1782
Tl Nd Th
2 1 1
direct
0.7512 0.7512 0.7462
0.2488 0.2488 0.2537
0.5000 0.5000 0.5000
0.0000 0.0000 0.0000
```